SrGe2AsSe6 | GGA-PBE | optimized geometry

Computed properties:
Spin magnetization in μB per atom: 0.000
Raw formation energy in eV/f.u.: -4.75
Calculated density in g/cm3: 4.43

Cell lengths 8.5293, 8.9602, 8.9602 Å; angles 73.50, 68.79, 68.79 degrees
Element x y z (fractional)
Sr  0.2500  0.8155  0.1845
Sr  0.7500  0.1845  0.8155
Ge  0.3327  0.7920  0.6336
Ge  0.1673  0.3664  0.2080
Ge  0.6673  0.2080  0.3664
Ge  0.8327  0.6336  0.7920
As  0.2500  0.2430  0.7570
As  0.7500  0.7570  0.2430
Se  0.1575  0.9935  0.8205
Se  0.3425  0.1795  0.0065
Se  0.8425  0.0065  0.1795
Se  0.6575  0.8205  0.9935
Se  0.4151  0.9397  0.3634
Se  0.0849  0.6366  0.0603
Se  0.5849  0.0603  0.6366
Se  0.9151  0.3634  0.9397
Se  0.0923  0.7114  0.5989
Se  0.4077  0.4011  0.2886
Se  0.9077  0.2886  0.4011
Se  0.5923  0.5989  0.7114

TaGeAs2Se | GGA-PBE | optimized geometry

Computed properties:
Spin magnetization in μB per atom: 0.000
Raw formation energy in eV/f.u.: 1.80
Relative energy among the computed polymorphs in meV per atom: 0
Calculated density in g/cm3: 6.35

Cell lengths 5.0604, 5.0604, 4.9269 Å; angles 90.00, 90.00, 90.00 degrees
Element x y z (fractional)
As  0.0000  0.5000  0.0000
As  0.5000  0.0000  0.0000
Ge  0.5000  0.5000  0.5000
Se  0.0000  0.0000  0.5000
Ta  0.0000  0.0000  0.0000

TaGeAs2Se | GGA-PBE | optimized geometry

Computed properties:
Spin magnetization in μB per atom: 0.000
Raw formation energy in eV/f.u.: 5.45
Relative energy among the computed polymorphs in meV per atom: 729
Calculated density in g/cm3: 7.26

Cell lengths 4.7765, 4.7765, 4.8338 Å; angles 90.00, 90.00, 90.00 degrees
Element x y z (fractional)
As  0.0000  0.5000  0.0000
As  0.5000  0.0000  0.0000
Ge  0.0000  0.0000  0.0000
Se  0.0000  0.0000  0.5000
Ta  0.5000  0.5000  0.5000

Tb8GeAs3Se4 | GGA-PBE | optimized geometry

Computed properties:
Spin magnetization in μB per atom: 0.000
Raw formation energy in eV/f.u.: -26.46
Calculated density in g/cm3: 7.84

Cell lengths 8.2584, 8.2713, 8.2582 Å; angles 119.95, 120.00, 90.00 degrees
Element x y z (fractional)
Tb  0.2447  0.7379  0.9933
Tb  0.2447  0.7378  0.4894
Tb  0.2540  0.2618  0.5079
Tb  0.7486  0.7379  0.9933
Tb  0.2514  0.2621  0.0067
Tb  0.7460  0.7382  0.4921
Tb  0.7553  0.2622  0.5106
Tb  0.7553  0.2621  0.0067
Ge  0.0000  0.5000  0.0000
As  0.5000  0.5000  0.0000
As  0.5000  0.5000  0.5000
As  0.0000  0.5000  0.5000
Se  0.5000  0.0000  0.0000
Se  0.5000  0.0000  0.5000
Se  0.0000  0.0000  0.0000
Se  0.0000  0.0000  0.5000

Tb6GeAs3Se2 | GGA-PBE | optimized geometry

Computed properties:
Spin magnetization in μB per atom: 0.000
Raw formation energy in eV/f.u.: -18.84
Calculated density in g/cm3: 7.79

Cell lengths 4.1317, 8.2888, 9.2379 Å; angles 102.86, 102.92, 90.00 degrees
Element x y z (fractional)
Tb  0.3351  0.9241  0.6702
Tb  0.6635  0.5903  0.3270
Tb  0.6649  0.0759  0.3298
Tb  0.9986  0.2466  0.9972
Tb  0.0014  0.7534  0.0028
Tb  0.3365  0.4097  0.6730
Ge  0.5000  0.0000  0.0000
As  0.5000  0.5000  0.0000
As  0.8313  0.1672  0.6626
As  0.1687  0.8328  0.3374
Se  0.8320  0.6631  0.6639
Se  0.1680  0.3369  0.3361

Tb8GeAs4Se3 | GGA-PBE | optimized geometry

Computed properties:
Spin magnetization in μB per atom: 0.000
Raw formation energy in eV/f.u.: -25.91
Calculated density in g/cm3: 7.83

Cell lengths 8.2631, 8.2616, 8.2632 Å; angles 120.01, 120.00, 90.00 degrees
Element x y z (fractional)
Tb  0.2486  0.7543  0.0057
Tb  0.2486  0.7543  0.4972
Tb  0.2461  0.2382  0.4922
Tb  0.7571  0.7543  0.0057
Tb  0.2429  0.2457  0.9943
Tb  0.7539  0.7618  0.5078
Tb  0.7514  0.2457  0.5028
Tb  0.7514  0.2457  0.9943
Ge  0.0000  0.5000  0.0000
As  0.5000  0.0000  0.0000
As  0.5000  0.0000  0.5000
As  0.0000  0.0000  0.0000
As  0.0000  0.0000  0.5000
Se  0.5000  0.5000  0.0000
Se  0.5000  0.5000  0.5000
Se  0.0000  0.5000  0.5000

Tb6Ge2AsSe3 | GGA-PBE | optimized geometry

Computed properties:
Spin magnetization in μB per atom: 0.000
Raw formation energy in eV/f.u.: -18.28
Calculated density in g/cm3: 7.75

Cell lengths 4.1425, 8.3001, 9.2661 Å; angles 102.97, 102.92, 90.00 degrees
Element x y z (fractional)
Tb  0.3352  0.9080  0.6703
Tb  0.6692  0.5762  0.3385
Tb  0.6648  0.0920  0.3297
Tb  0.0040  0.2452  0.0080
Tb  0.9960  0.7548  0.9920
Tb  0.3308  0.4238  0.6615
Ge  0.8335  0.6675  0.6671
Ge  0.1665  0.3325  0.3329
As  0.5000  0.0000  0.0000
Se  0.5000  0.5000  0.0000
Se  0.8345  0.1661  0.6690
Se  0.1655  0.8339  0.3310

Tb6Ge3AsSe2 | GGA-PBE | optimized geometry

Computed properties:
Spin magnetization in μB per atom: 0.000
Raw formation energy in eV/f.u.: -15.65
Calculated density in g/cm3: 7.70

Cell lengths 4.1074, 8.3788, 9.3316 Å; angles 104.46, 102.71, 90.00 degrees
Element x y z (fractional)
Tb  0.3336  0.9218  0.6672
Tb  0.6651  0.5885  0.3302
Tb  0.6664  0.0782  0.3328
Tb  0.9988  0.2471  0.9976
Tb  0.0012  0.7529  0.0024
Tb  0.3349  0.4115  0.6698
Ge  0.5000  0.5000  0.0000
Ge  0.8321  0.1667  0.6643
Ge  0.1679  0.8333  0.3357
As  0.5000  0.0000  0.0000
Se  0.8328  0.6654  0.6656
Se  0.1672  0.3346  0.3344